Here is an optimized crystal structure of LiPr4Tl2 from Alexandria via LeMat-Bulk. Energies are from PBE-GGA.

Lattice parameters (Å, degrees): 9.4430 9.4430 9.4430 33.76 33.76 33.76
Element x y z (fractional)
Li 0.0000 0.0000 0.0000
Pr 0.2184 0.2184 0.2184
Pr 0.3698 0.3698 0.3698
Pr 0.6302 0.6302 0.6302
Pr 0.7816 0.7816 0.7816
Tl 0.0950 0.0950 0.0950
Tl 0.9050 0.9050 0.9050

calculated formation energy = -0.063 eV per atom
M_tot = 0.00 μB per cell
energy above the most stable polymorph in this dataset = 105 meV/atom

Here is an optimized crystal structure of Sr3Si2Pd4 from Alexandria via LeMat-Bulk. Energies are from PBE-GGA.

Lattice parameters (Å, degrees): 6.1900 6.1900 9.1017 110.22 110.22 40.64
Element x y z (fractional)
Sr 0.0000 0.0000 0.0000
Sr 0.3827 0.3827 0.3043
Sr 0.6173 0.6173 0.6957
Si 0.3373 0.3373 0.6927
Si 0.6627 0.6627 0.3073
Pd 0.1632 0.1632 0.4305
Pd 0.2808 0.2808 0.9214
Pd 0.7192 0.7192 0.0786
Pd 0.8368 0.8368 0.5695

M_tot = 0.00 μB per cell
ΔE_f (raw) = -0.70 eV/atom
energy above the most stable polymorph in this dataset = 0 meV/atom

Here is an optimized crystal structure of CdGa2Br6 from Alexandria via LeMat-Bulk. Energies are from PBE-GGA.

Lattice parameters (Å, degrees): 10.3555 10.3555 6.9104 96.32 96.32 84.94
Element x y z (fractional)
Cd 0.0064 0.9936 0.7500
Cd 0.9936 0.0064 0.2500
Ga 0.3381 0.4998 0.7348
Ga 0.4998 0.3381 0.2348
Ga 0.5002 0.6619 0.7652
Ga 0.6619 0.5002 0.2652
Br 0.0050 0.8046 0.4598
Br 0.1339 0.5477 0.8419
Br 0.1954 0.9950 0.0402
Br 0.2898 0.4237 0.3738
Br 0.4237 0.2898 0.8738
Br 0.4523 0.8661 0.6581
Br 0.5477 0.1339 0.3419
Br 0.5763 0.7102 0.1262
Br 0.7102 0.5763 0.6262
Br 0.8046 0.0050 0.9598
Br 0.8661 0.4523 0.1581
Br 0.9950 0.1954 0.5402

M_tot = 0.00 μB per cell
ΔE_f (raw) = -0.77 eV/atom
energy above the most stable polymorph in this dataset = 0 meV/atom

Here is an optimized crystal structure of VCrAs3 from Alexandria via LeMat-Bulk. Energies are from PBE-GGA.

Lattice parameters (Å, degrees): 6.6843 3.4017 7.5478 90.00 93.36 90.00
Element x y z (fractional)
V 0.1187 0.2500 0.2508
V 0.8813 0.7500 0.7492
Cr 0.3579 0.7500 0.7925
Cr 0.6421 0.2500 0.2075
As 0.1225 0.2500 0.8998
As 0.1668 0.7500 0.5030
As 0.3769 0.7500 0.1425
As 0.6231 0.2500 0.8575
As 0.8332 0.2500 0.4970
As 0.8775 0.7500 0.1002

calculated formation energy = -0.174 eV per atom
M_tot = 5.34 μB per cell
energy above the most stable polymorph in this dataset = 0 meV/atom

Here is an optimized crystal structure of LaSc2Ta from Alexandria via LeMat-Bulk. Energies are from PBE-GGA.

Lattice parameters (Å, degrees): 3.3433 4.1777 7.2914 90.00 90.00 90.00
Element x y z (fractional)
La 0.0000 0.0000 0.0000
Sc 0.0000 0.0000 0.5463
Sc 0.5000 0.5000 0.3224
Ta 0.5000 0.5000 0.7311

calculated formation energy = 0.278 eV per atom
M_tot = 0.00 μB per cell

Here is an optimized crystal structure of Y3AlIn2 from Alexandria via LeMat-Bulk. Energies are from PBE-GGA.

Lattice parameters (Å, degrees): 8.3365 8.3365 3.6852 90.00 90.00 143.05
Element x y z (fractional)
Y 0.0000 0.0000 0.0000
Y 0.3394 0.6606 0.0000
Y 0.6606 0.3394 0.0000
Al 0.5000 0.5000 0.5000
In 0.1696 0.8304 0.5000
In 0.8304 0.1696 0.5000

calculated formation energy = -0.462 eV per atom
M_tot = 0.00 μB per cell
energy above the most stable polymorph in this dataset = 5 meV/atom

Here is an optimized crystal structure of Hf2PbF from Alexandria via LeMat-Bulk. Energies are from PBE-GGA.

Lattice parameters (Å, degrees): 7.9375 7.9375 7.9375 141.21 141.21 56.03
Element x y z (fractional)
Hf 0.0000 0.0000 0.0000
Hf 0.0000 0.0000 0.5000
Hf 0.0000 0.5000 0.0000
Hf 0.5000 0.0000 0.5000
Pb 0.3750 0.6250 0.7500
Pb 0.6250 0.3750 0.2500
F 0.1250 0.8750 0.2500
F 0.8750 0.1250 0.7500

M_tot = 0.00 μB per cell
ΔE_f (raw) = -0.23 eV/atom
energy above the most stable polymorph in this dataset = 164 meV/atom

Here is an optimized crystal structure of Nd3Te2S from Alexandria via LeMat-Bulk. Energies are from PBE-GGA.

Lattice parameters (Å, degrees): 4.2621 4.2621 22.6680 90.00 90.00 120.00
Element x y z (fractional)
Nd 0.0000 0.0000 0.0000
Nd 0.0000 0.0000 0.5000
Nd 0.3333 0.6667 0.1730
Nd 0.3333 0.6667 0.3270
Nd 0.6667 0.3333 0.6730
Nd 0.6667 0.3333 0.8270
Te 0.3333 0.6667 0.5872
Te 0.3333 0.6667 0.9128
Te 0.6667 0.3333 0.0872
Te 0.6667 0.3333 0.4128
S 0.0000 0.0000 0.2500
S 0.0000 0.0000 0.7500

M_tot = 0.00 μB per cell
ΔE_f (raw) = -1.52 eV/atom
energy above the most stable polymorph in this dataset = 77 meV/atom